1.
ZrCrSi2 | PBE-GGA | optimized geometry

The energy above the most stable polymorph in this dataset is 0.3638 eV per atom. Its size of the total moment is 2.9 μB per formula unit.

It has space group Imm2 (No. 44), with a = 3.785 Å, b = 3.788 Å, c = 8.832 Å, α = 90.00°, β = 90.00° and γ = 90.00°. The inequivalent atoms are Zr at (0.000, 0.000, 0.000), Cr at (0.000, 0.500, 0.250), Si at (0.000, 0.000, 0.499) and Si at (0.000, 0.500, 0.750).


2.
Ce4HoIr4 | PBE-GGA | optimized geometry

The calculation puts the formation energy at -674 meV/atom. Its size of the total moment is 0.6 μB per formula unit.

It has space group P4_2/n (No. 86, origin choice 2), with a = 8.930 Å, b = 8.930 Å, c = 5.663 Å, α = 90.00°, β = 90.00° and γ = 90.00°. The inequivalent atoms are Ce at (0.063, 0.657, 0.187), Ho at (0.250, 0.250, 0.250) and Ir at (0.041, 0.630, 0.683).


3.
ZnAsRh | PBE-GGA | optimized geometry

The calculation puts the formation energy at -48 meV/atom. Its size of the total moment is 0.0 μB per formula unit.

It has space group F-43m (No. 216), with a = 5.884 Å, b = 5.884 Å, c = 5.884 Å, α = 90.00°, β = 90.00° and γ = 90.00°. The inequivalent atoms are Zn at (0.000, 0.000, 0.000), As at (0.250, 0.250, 0.750) and Rh at (0.000, 0.000, 0.500).


4.
KErScTe3 | PBE-GGA | optimized geometry

The value obtained for the energy is -4.77 eV per atom. Its size of the total moment is 0.3 μB per formula unit.

It has space group P2_1/m (No. 11), with a = 9.600 Å, b = 4.538 Å, c = 10.635 Å, α = 90.00°, β = 107.21° and γ = 90.00°. The inequivalent atoms are K at (0.203, 0.250, 0.232), Er at (0.339, 0.750, 0.865), Sc at (0.084, 0.250, 0.607), Te at (0.117, 0.250, 0.876), Te at (0.226, 0.750, 0.544) and Te at (0.457, 0.750, 0.162).